Record 1
# PBE PmTiC2, optimized geometry
data_PmTiC2
_chemical_formula_sum 'Pm3 Ti3 C6'
_cell_length_a 3.3637
_cell_length_b 3.3637
_cell_length_c 16.8941
_cell_angle_alpha 90.00
_cell_angle_beta 90.00
_cell_angle_gamma 120.00
_symmetry_space_group_name_H-M 'R -3 m'
_symmetry_Int_Tables_number 166
_symmetry_space_group_name_Hall '-R 3 2"'
loop_
_atom_site_label
_atom_site_type_symbol
_atom_site_fract_x
_atom_site_fract_y
_atom_site_fract_z
Pm1 Pm 0.0000 0.0000 0.0000
Ti1 Ti 0.0000 0.0000 0.5000
C1 C 0.0000 0.0000 0.2335
# - magnetic moment (μB/cell) = 0.00
# - ΔE_f (eV per atom) = -0.09


Record 2
# PBE La3SbAs, optimized geometry
data_La3SbAs
_chemical_formula_sum 'La3 Sb1 As1'
_cell_length_a 5.649
_cell_length_b 5.649
_cell_length_c 5.649
_cell_angle_alpha 90.00
_cell_angle_beta 90.00
_cell_angle_gamma 90.00
_symmetry_space_group_name_H-M 'P m -3 m'
_symmetry_Int_Tables_number 221
_symmetry_space_group_name_Hall '-P 4 2 3'
loop_
_atom_site_label
_atom_site_type_symbol
_atom_site_fract_x
_atom_site_fract_y
_atom_site_fract_z
La1 La 0.000 0.000 0.500
Sb1 Sb 0.500 0.500 0.500
As1 As 0.000 0.000 0.000
# - magnetic moment (μB/cell) = 0.00
# - energy relative to the elements, uncorrected (eV/atom) = -0.7196


Record 3
# PBE YAlI2O, optimized geometry
data_YAlI2O
_chemical_formula_sum 'Y1 Al1 I2 O1'
_cell_length_a 5.902
_cell_length_b 5.902
_cell_length_c 3.537
_cell_angle_alpha 90.00
_cell_angle_beta 90.00
_cell_angle_gamma 90.00
_symmetry_space_group_name_H-M 'P 4/m m m'
_symmetry_Int_Tables_number 123
_symmetry_space_group_name_Hall '-P 4 2'
loop_
_atom_site_label
_atom_site_type_symbol
_atom_site_fract_x
_atom_site_fract_y
_atom_site_fract_z
Y1 Y 0.000 0.000 0.000
Al1 Al 0.500 0.500 0.500
I1 I 0.000 0.500 0.500
O1 O 0.500 0.500 0.000
# - magnetic moment (μB/cell) = 0.22
# - energy relative to the elements, uncorrected (eV/atom) = -0.9534


Record 4
# PBE NpV2Sn, optimized geometry
data_NpV2Sn
_chemical_formula_sum 'Np1 V2 Sn1'
_cell_length_a 4.522
_cell_length_b 4.522
_cell_length_c 3.395
_cell_angle_alpha 90.00
_cell_angle_beta 90.00
_cell_angle_gamma 90.00
_symmetry_space_group_name_H-M 'P 4/m m m'
_symmetry_Int_Tables_number 123
_symmetry_space_group_name_Hall '-P 4 2'
loop_
_atom_site_label
_atom_site_type_symbol
_atom_site_fract_x
_atom_site_fract_y
_atom_site_fract_z
Np1 Np 0.000 0.000 0.000
V1 V 0.000 0.500 0.500
Sn1 Sn 0.500 0.500 0.000
# - magnetic moment (μB/cell) = 2.79
# - ΔE_f (eV per atom) = 0.17


Record 5
# PBE LiHo3Rh8, optimized geometry
data_LiHo3Rh8
_chemical_formula_sum 'Li3 Ho9 Rh24'
_cell_length_a 5.2706
_cell_length_b 5.2706
_cell_length_c 25.9599
_cell_angle_alpha 90.00
_cell_angle_beta 90.00
_cell_angle_gamma 120.00
_symmetry_space_group_name_H-M 'R 3 m'
_symmetry_Int_Tables_number 160
_symmetry_space_group_name_Hall 'R 3 -2"'
loop_
_atom_site_label
_atom_site_type_symbol
_atom_site_fract_x
_atom_site_fract_y
_atom_site_fract_z
Li1 Li 0.0000 0.0000 0.0000
Ho1 Ho 0.0000 0.0000 0.1212
Ho2 Ho 0.0000 0.0000 0.5044
Ho3 Ho 0.0000 0.0000 0.6339
Rh1 Rh 0.0000 0.0000 0.3161
Rh2 Rh 0.0000 0.0000 0.8159
Rh3 Rh 0.0000 0.5000 0.5661
Rh4 Rh 0.0016 0.5008 0.0659
# - magnetic moment (μB/cell) = 0.00
# - ΔE_f (eV per atom) = -0.62


Record 6
# PBE AlTlPd2Ru, optimized geometry
data_AlTlPd2Ru
_chemical_formula_sum 'Al1 Tl1 Pd2 Ru1'
_cell_length_a 4.946
_cell_length_b 4.946
_cell_length_c 5.031
_cell_angle_alpha 90.00
_cell_angle_beta 90.00
_cell_angle_gamma 90.00
_symmetry_space_group_name_H-M 'P 4/m m m'
_symmetry_Int_Tables_number 123
_symmetry_space_group_name_Hall '-P 4 2'
loop_
_atom_site_label
_atom_site_type_symbol
_atom_site_fract_x
_atom_site_fract_y
_atom_site_fract_z
Al1 Al 0.000 0.000 0.000
Tl1 Tl 0.500 0.500 0.500
Pd1 Pd 0.000 0.500 0.500
Ru1 Ru 0.500 0.500 0.000
# - magnetic moment (μB/cell) = 0.60
# - ΔE_f (eV per atom) = 1.29


Record 7
# PBE LiY2Pd2, optimized geometry
data_LiY2Pd2
_chemical_formula_sum 'Li2 Y4 Pd4'
_cell_length_a 5.408
_cell_length_b 5.408
_cell_length_c 8.201
_cell_angle_alpha 90.00
_cell_angle_beta 90.00
_cell_angle_gamma 90.00
_symmetry_space_group_name_H-M 'I 4/m m m'
_symmetry_Int_Tables_number 139
_symmetry_space_group_name_Hall '-I 4 2'
loop_
_atom_site_label
_atom_site_type_symbol
_atom_site_fract_x
_atom_site_fract_y
_atom_site_fract_z
Li1 Li 0.000 0.000 0.000
Y1 Y 0.000 0.500 0.250
Pd1 Pd 0.000 0.000 0.340
# - magnetic moment (μB/cell) = 0.00
# - ΔE_f (eV per atom) = -0.47


Record 8
# PBE SmY3Pd3, optimized geometry
data_SmY3Pd3
_chemical_formula_sum 'Sm4 Y12 Pd12'
_cell_length_a 9.324
_cell_length_b 10.495
_cell_length_c 7.142
_cell_angle_alpha 90.00
_cell_angle_beta 91.74
_cell_angle_gamma 90.00
_symmetry_space_group_name_H-M 'C 1 2/m 1'
_symmetry_Int_Tables_number 12
_symmetry_space_group_name_Hall '-C 2y'
loop_
_atom_site_label
_atom_site_type_symbol
_atom_site_fract_x
_atom_site_fract_y
_atom_site_fract_z
Sm1 Sm 0.237 0.000 0.377
Y1 Y 0.000 0.251 0.500
Y2 Y 0.000 0.323 0.000
Y3 Y 0.154 0.000 0.866
Pd1 Pd 0.062 0.500 0.307
Pd2 Pd 0.243 0.248 0.220
# - magnetic moment (μB/cell) = 0.00
# - ΔE_f (eV per atom) = -0.67


Record 9
# PBE Ho4IrSe5, optimized geometry
data_Ho4IrSe5
_chemical_formula_sum 'Ho8 Ir2 Se10'
_cell_length_a 17.748
_cell_length_b 4.042
_cell_length_c 8.136
_cell_angle_alpha 90.00
_cell_angle_beta 106.44
_cell_angle_gamma 90.00
_symmetry_space_group_name_H-M 'C 1 2/m 1'
_symmetry_Int_Tables_number 12
_symmetry_space_group_name_Hall '-C 2y'
loop_
_atom_site_label
_atom_site_type_symbol
_atom_site_fract_x
_atom_site_fract_y
_atom_site_fract_z
Ho1 Ho 0.004 0.000 0.253
Ho2 Ho 0.171 0.500 0.103
Ir1 Ir 0.000 0.500 0.000
Se1 Se 0.000 0.500 0.500
Se2 Se 0.164 0.000 0.849
Se3 Se 0.168 0.000 0.339
# - magnetic moment (μB/cell) = 0.00
# - energy relative to the elements, uncorrected (eV/atom) = -1.3569


Record 10
# PBE Tb2HoErSc2, optimized geometry
data_Tb2HoErSc2
_chemical_formula_sum 'Tb4 Ho2 Er2 Sc4'
_cell_length_a 6.859
_cell_length_b 9.357
_cell_length_c 5.427
_cell_angle_alpha 90.00
_cell_angle_beta 90.00
_cell_angle_gamma 90.00
_symmetry_space_group_name_H-M 'P n n m'
_symmetry_Int_Tables_number 58
_symmetry_space_group_name_Hall '-P 2 2n'
loop_
_atom_site_label
_atom_site_type_symbol
_atom_site_fract_x
_atom_site_fract_y
_atom_site_fract_z
Tb1 Tb 0.249 0.167 0.000
Ho1 Ho 0.000 0.500 0.000
Er1 Er 0.000 0.000 0.500
Sc1 Sc 0.250 0.333 0.500
# - magnetic moment (μB/cell) = 0.01
# - ΔE_f (eV per atom) = 0.07


Record 11
# PBE Ce4As5Au, optimized geometry
data_Ce4As5Au
_chemical_formula_sum 'Ce12 As15 Au3'
_cell_length_a 4.2858
_cell_length_b 4.2858
_cell_length_c 47.1422
_cell_angle_alpha 90.00
_cell_angle_beta 90.00
_cell_angle_gamma 120.00
_symmetry_space_group_name_H-M 'R -3 m'
_symmetry_Int_Tables_number 166
_symmetry_space_group_name_Hall '-R 3 2"'
loop_
_atom_site_label
_atom_site_type_symbol
_atom_site_fract_x
_atom_site_fract_y
_atom_site_fract_z
Ce1 Ce 0.0000 0.0000 0.1089
Ce2 Ce 0.0000 0.0000 0.2974
As1 As 0.0000 0.0000 0.0000
As2 As 0.0000 0.0000 0.1947
As3 As 0.0000 0.0000 0.4054
Au1 Au 0.0000 0.0000 0.5000
# - magnetic moment (μB/cell) = 5.14
# - ΔE_f (eV per atom) = -1.08


Record 12
# PBE Ba2VW, optimized geometry
data_Ba2VW
_chemical_formula_sum 'Ba8 V4 W4'
_cell_length_a 12.502
_cell_length_b 12.502
_cell_length_c 4.542
_cell_angle_alpha 90.00
_cell_angle_beta 90.00
_cell_angle_gamma 90.00
_symmetry_space_group_name_H-M 'I -4 2 d'
_symmetry_Int_Tables_number 122
_symmetry_space_group_name_Hall 'I -4 2bw'
loop_
_atom_site_label
_atom_site_type_symbol
_atom_site_fract_x
_atom_site_fract_y
_atom_site_fract_z
Ba1 Ba 0.062 0.250 0.125
V1 V 0.000 0.000 0.500
W1 W 0.000 0.000 0.000
# - magnetic moment (μB/cell) = 4.16
# - ΔE_f (eV per atom) = 1.25


Repeat the ninth record exactly.
# PBE Ho4IrSe5, optimized geometry
data_Ho4IrSe5
_chemical_formula_sum 'Ho8 Ir2 Se10'
_cell_length_a 17.748
_cell_length_b 4.042
_cell_length_c 8.136
_cell_angle_alpha 90.00
_cell_angle_beta 106.44
_cell_angle_gamma 90.00
_symmetry_space_group_name_H-M 'C 1 2/m 1'
_symmetry_Int_Tables_number 12
_symmetry_space_group_name_Hall '-C 2y'
loop_
_atom_site_label
_atom_site_type_symbol
_atom_site_fract_x
_atom_site_fract_y
_atom_site_fract_z
Ho1 Ho 0.004 0.000 0.253
Ho2 Ho 0.171 0.500 0.103
Ir1 Ir 0.000 0.500 0.000
Se1 Se 0.000 0.500 0.500
Se2 Se 0.164 0.000 0.849
Se3 Se 0.168 0.000 0.339
# - magnetic moment (μB/cell) = 0.00
# - energy relative to the elements, uncorrected (eV/atom) = -1.3569


Q: Among the records above, which one has the highest magnetic moment?
A: Ce4As5Au


Q: Among the records above, which one has the highest magnetic moment?
A: Ce4As5Au